(1)
Below is an optimized crystal structure of MoHRuW2, with properties calculated at the PBE level.

The value obtained for the excess energy over the best structure of this formula in the dataset is 0.005 eV/atom. Its total magnetization is 0.00 μB per formula unit. As for the calculated volume: 64 Å³/cell. As for the crystal system: tetragonal.

Lattice parameters (Å, degrees): 4.016 4.016 3.991 90.00 90.00 90.00
Element x y z (fractional)
Ru  0.500  0.500  0.500
Mo  0.000  0.000  0.500
W  0.000  0.500  0.000
W  0.500  0.000  0.000
H  0.000  0.000  0.000



(2)
Below is an optimized crystal structure of Pm3GeCl3, with properties calculated at the PBE level.

The calculation puts the formation energy (no corrections) at -1.595 eV per atom. The value obtained for the excess energy over the best structure of this formula in the dataset is 0.054 eV/atom. Its total magnetization is 0.00 μB per formula unit. As for the calculated volume: 195 Å³/cell. As for the crystal system: cubic.

Lattice parameters (Å, degrees): 5.797 5.797 5.797 90.00 90.00 90.00
Element x y z (fractional)
Pm  0.500  0.000  0.500
Pm  0.500  0.500  0.000
Pm  0.000  0.500  0.500
Ge  0.500  0.500  0.500
Cl  0.000  0.500  0.000
Cl  0.000  0.000  0.500
Cl  0.500  0.000  0.000



(3)
Below is an optimized crystal structure of Nd4Zn3Pd, with properties calculated at the PBE level.

Its energy relative to the elements is -38.0 kJ/mol of atoms. The value obtained for the excess energy over the best structure of this formula in the dataset is 0.027 eV/atom. Its total magnetization is 0.00 μB per formula unit. As for the calculated volume: 203 Å³/cell. As for the crystal system: orthorhombic.

Lattice parameters (Å, degrees): 3.832 4.620 11.477 90.00 90.00 90.00
Element x y z (fractional)
Nd  0.500  0.500  0.347
Nd  0.000  0.500  0.862
Nd  0.000  0.000  0.143
Nd  0.500  0.000  0.651
Zn  0.000  0.500  0.568
Zn  0.000  0.000  0.430
Zn  0.500  0.000  0.930
Pd  0.500  0.500  0.070



(4)
Below is an optimized crystal structure of NiAgP4, with properties calculated at the PBE level.

Its energy relative to the elements is 66.1 kJ/mol of atoms. Its total magnetization is 0.00 μB per formula unit. As for the calculated volume: 95 Å³/cell. As for the crystal system: cubic.

Lattice parameters (Å, degrees): 5.114 5.114 5.114 60.00 60.00 60.00
Element x y z (fractional)
Ni  0.000  0.000  0.000
Ag  0.750  0.750  0.750
P  0.906  0.365  0.365
P  0.365  0.365  0.906
P  0.365  0.906  0.365
P  0.365  0.365  0.365



(5)
Below is an optimized crystal structure of Tm3Cu2Rh7, with properties calculated at the PBE level.

Its energy relative to the elements is -54.4 kJ/mol of atoms. Its total magnetization is 0.00 μB per formula unit. As for the calculated volume: 203 Å³/cell. As for the crystal system: trigonal.

Lattice parameters (Å, degrees): 5.270 5.270 8.967 72.91 72.91 60.00
Element x y z (fractional)
Tm  0.000  0.000  0.000
Tm  0.860  0.860  0.421
Tm  0.140  0.140  0.579
Cu  0.666  0.666  0.002
Cu  0.334  0.334  0.998
Rh  0.500  0.500  0.500
Rh  0.921  0.415  0.248
Rh  0.415  0.921  0.248
Rh  0.415  0.415  0.248
Rh  0.079  0.585  0.752
Rh  0.585  0.585  0.752
Rh  0.585  0.079  0.752



(6)
Below is an optimized crystal structure of CsMgSe3, with properties calculated at the PBE level.

The calculation puts the formation energy (no corrections) at 0.860 eV per atom. The value obtained for the excess energy over the best structure of this formula in the dataset is 1.346 eV/atom. Its total magnetization is 0.00 μB per formula unit. As for the calculated volume: 194 Å³/cell. As for the crystal system: cubic.

Lattice parameters (Å, degrees): 5.792 5.792 5.792 90.00 90.00 90.00
Element x y z (fractional)
Cs  0.000  0.000  0.000
Mg  0.500  0.500  0.500
Se  0.000  0.500  0.000
Se  0.000  0.000  0.500
Se  0.500  0.000  0.000



(7)
Below is an optimized crystal structure of BaLi9Pd3, with properties calculated at the PBE level.

Its energy relative to the elements is -25.6 kJ/mol of atoms. Its total magnetization is 0.00 μB per formula unit. As for the calculated volume: 242 Å³/cell. As for the crystal system: monoclinic.

Lattice parameters (Å, degrees): 5.575 7.259 7.169 80.43 67.12 64.69
Element x y z (fractional)
Ba  0.000  0.000  0.000
Li  0.727  0.775  0.759
Li  0.273  0.225  0.241
Li  0.514  0.225  0.759
Li  0.486  0.775  0.241
Li  0.619  0.339  0.363
Li  0.381  0.661  0.637
Li  0.018  0.661  0.363
Li  0.982  0.339  0.637
Li  0.000  0.500  0.000
Pd  0.500  0.500  0.000
Pd  0.000  0.000  0.500
Pd  0.500  0.000  0.500



(8)
Below is an optimized crystal structure of SmDyGePt, with properties calculated at the PBE level.

Its energy relative to the elements is -86.9 kJ/mol of atoms. The value obtained for the excess energy over the best structure of this formula in the dataset is 0.141 eV/atom. Its total magnetization is 0.00 μB per formula unit. As for the calculated volume: 92 Å³/cell. As for the crystal system: cubic.

Lattice parameters (Å, degrees): 5.061 5.061 5.061 60.00 60.00 60.00
Element x y z (fractional)
Ge  0.250  0.250  0.250
Sm  0.000  0.000  0.000
Pt  0.750  0.750  0.750
Dy  0.500  0.500  0.500



(9)
Below is an optimized crystal structure of RbIrCl2, with properties calculated at the PBE level.

The calculation puts the formation energy (no corrections) at -0.125 eV per atom. The value obtained for the excess energy over the best structure of this formula in the dataset is 0.135 eV/atom. Its total magnetization is 1.28 μB per formula unit. As for the calculated volume: 106 Å³/cell. As for the crystal system: trigonal.

Lattice parameters (Å, degrees): 9.379 9.379 9.379 22.48 22.48 22.48
Element x y z (fractional)
Ir  0.000  0.000  0.000
Rb  0.500  0.500  0.500
Cl  0.917  0.917  0.917
Cl  0.083  0.083  0.083



(10)
Below is an optimized crystal structure of Ac3CdAg3, with properties calculated at the PBE level.

Its energy relative to the elements is -5.1 kJ/mol of atoms. The value obtained for the excess energy over the best structure of this formula in the dataset is 0.214 eV/atom. Its total magnetization is 0.00 μB per formula unit. As for the calculated volume: 498 Å³/cell. As for the crystal system: hexagonal.

Lattice parameters (Å, degrees): 6.379 9.499 9.499 120.00 90.00 90.00
Element x y z (fractional)
Ac  0.750  0.671  0.612
Ac  0.750  0.388  0.059
Ac  0.750  0.941  0.329
Ac  0.250  0.329  0.388
Ac  0.250  0.612  0.941
Ac  0.250  0.059  0.671
Cd  0.250  0.667  0.333
Cd  0.750  0.333  0.667
Ag  0.250  0.710  0.661
Ag  0.250  0.339  0.049
Ag  0.250  0.951  0.290
Ag  0.750  0.290  0.339
Ag  0.750  0.661  0.951
Ag  0.750  0.049  0.710



(11)
Below is an optimized crystal structure of BeSnI2, with properties calculated at the PBE level.

The calculation puts the formation energy (no corrections) at 0.548 eV per atom. The value obtained for the excess energy over the best structure of this formula in the dataset is 0.240 eV/atom. Its total magnetization is 0.00 μB per formula unit. As for the calculated volume: 120 Å³/cell. As for the crystal system: cubic.

Lattice parameters (Å, degrees): 5.532 5.532 5.532 60.00 60.00 60.00
Element x y z (fractional)
I  0.250  0.250  0.250
I  0.750  0.750  0.750
Be  0.000  0.000  0.000
Sn  0.500  0.500  0.500



(12)
Below is an optimized crystal structure of Er2PbS4, with properties calculated at the PBE level.

The calculation puts the formation energy (no corrections) at -1.637 eV per atom. The value obtained for the excess energy over the best structure of this formula in the dataset is 0.003 eV/atom. Its total magnetization is 0.00 μB per formula unit. As for the calculated volume: 684 Å³/cell. As for the crystal system: orthorhombic.

Lattice parameters (Å, degrees): 3.956 12.030 14.365 90.00 90.00 90.00
Element x y z (fractional)
Er  0.250  0.439  0.391
Er  0.250  0.939  0.109
Er  0.750  0.561  0.609
Er  0.750  0.061  0.891
Er  0.250  0.417  0.900
Er  0.250  0.917  0.600
Er  0.750  0.583  0.100
Er  0.750  0.083  0.400
Pb  0.250  0.775  0.336
Pb  0.250  0.275  0.164
Pb  0.750  0.225  0.664
Pb  0.750  0.725  0.836
S  0.250  0.206  0.830
S  0.250  0.706  0.670
S  0.750  0.794  0.170
S  0.750  0.294  0.330
S  0.250  0.127  0.527
S  0.250  0.627  0.973
S  0.750  0.873  0.473
S  0.750  0.373  0.027
S  0.250  0.018  0.288
S  0.250  0.518  0.212
S  0.750  0.982  0.712
S  0.750  0.482  0.788
S  0.250  0.413  0.577
S  0.250  0.913  0.923
S  0.750  0.587  0.423
S  0.750  0.087  0.077